[1]
# AgAsP

An optimized crystal structure of AgAsP (GGA-PBE, Alexandria).

Summary:
Its calculated total energy is -11.6 eV for the cell shown. The density of states at the Fermi level is 0.438 states/eV per atom. For the total moment, the calculation gives 0.00 μB/f.u. The value obtained for the energy above the most stable polymorph in this dataset is 86 kJ/mol of formula units. The value obtained for the energy relative to the elements is 9.9 kcal/mol of atoms. The space group is F-43m (216).

a = 4.4233 Å, b = 4.4233 Å, c = 4.4233 Å
α = 60.00°, β = 60.00°, γ = 60.00°
Closest atoms and distances in Å follow each position.
Atoms (fractional coordinates):
Ag  0.0000  0.0000  0.0000  4 P 2.71
As  0.5000  0.5000  0.5000  4 P 2.71
P  0.7500  0.7500  0.7500  4 As 2.71, 4 Ag 2.71

[2]
# AgAs2P

An optimized crystal structure of AgAs2P (GGA-PBE, Alexandria).

Summary:
Its calculated total energy is -16.2 eV for the cell shown. The density of states at the Fermi level is 0.298 states/eV per atom. For the total moment, the calculation gives 0.00 μB/f.u. The value obtained for the energy relative to the elements is 8.0 kcal/mol of atoms. The space group is Imm2 (44).

a = 6.4219 Å, b = 6.4219 Å, c = 6.4219 Å
α = 150.37°, β = 143.99°, γ = 47.30°
Closest atoms and distances in Å follow each position.
Atoms (fractional coordinates):
Ag  0.2964  0.7964  0.5000  6 As 2.83-2.85
As  0.9703  0.9703  0.0000  4 P 2.69, 2 Ag 2.85
As  0.6966  0.1966  0.5000  2 P 2.50
P  0.5367  0.5367  0.0000  6 As 2.50-2.69

[3]
# AgAsP3

An optimized crystal structure of AgAsP3 (GGA-PBE, Alexandria).

Summary:
Its calculated total energy is -18.3 eV for the cell shown. The density of states at the Fermi level is 0.958 states/eV per atom. For the total moment, the calculation gives 0.00 μB/f.u. The value obtained for the energy above the most stable polymorph in this dataset is 0 kJ/mol of formula units. The value obtained for the energy relative to the elements is 25.0 kcal/mol of atoms. The space group is Pm-3m (221).

a = 4.7347 Å, b = 4.7347 Å, c = 4.7347 Å
α = 90.00°, β = 90.00°, γ = 90.00°
Closest atoms and distances in Å follow each position.
Atoms (fractional coordinates):
P  0.0000  0.5000  0.0000  2 As 2.37
P  0.0000  0.0000  0.5000  2 As 2.37
P  0.5000  0.0000  0.0000  2 As 2.37
As  0.0000  0.0000  0.0000  6 P 2.37
Ag  0.5000  0.5000  0.5000  12 P 3.35

[4]
# AgAsP2

An optimized crystal structure of AgAsP2 (GGA-PBE, Alexandria).

Summary:
Its calculated total energy is -16.7 eV for the cell shown. The density of states at the Fermi level is 0.606 states/eV per atom. For the total moment, the calculation gives 0.00 μB/f.u. The value obtained for the energy relative to the elements is 9.2 kcal/mol of atoms. The space group is P4mm (99).

a = 3.0879 Å, b = 3.0879 Å, c = 7.4654 Å
α = 90.00°, β = 90.00°, γ = 90.00°
Closest atoms and distances in Å follow each position.
Atoms (fractional coordinates):
Ag  0.0000  0.0000  0.4949  4 As 2.85, 4 Ag 3.09, 5 P 3.14-3.16
As  0.5000  0.5000  0.7403  4 Ag 2.85, 4 As 3.09
P  0.0000  0.0000  0.0721  4 P 2.36
P  0.5000  0.5000  0.1926  4 P 2.36

> What is the formula in the third record?

AgAsP3

> What is the formula in the third record?

AgAsP3